## Sc2AlCo (PBE)

Data for a relaxed structure of Sc2AlCo.

POSCAR file:
```
Sc2AlCo
1.0
1.582 0.913 8.531
-1.582 0.913 8.531
0.000 -1.826 8.531
Sc Al Co
2 1 1
Cartesian
0.000 0.000 6.092
0.000 0.000 19.501
0.000 0.000 0.000
0.000 0.000 12.796
```

Results
DOS at the Fermi energy ... 0.733 states/eV per atom
E_form ... -0.134 eV per atom
Raw total energy ... -6.01 eV/atom